Entry 1:
An optimized crystal structure of Th2ZrSc6. Source: the Alexandria database, functional PBE.

Structure (extended XYZ):
```
9
Lattice="3.342 0.000 0.000 -1.671 2.895 0.000 0.000 0.000 24.344" Properties=species:S:1:pos:R:3 pbc="T T T"
Th 0.000 0.000 4.238
Th 0.000 0.000 20.107
Zr 1.671 0.965 12.172
Sc 0.000 0.000 9.671
Sc 0.000 0.000 14.673
Sc 1.671 0.965 1.490
Sc 1.671 0.965 7.082
Sc 1.671 0.965 17.262
Sc 1.671 0.965 22.855
```

Output
relative energy among the computed polymorphs: 0.0 meV per atom
DOS(E_F): 17.204 states/eV per cell
calculated volume: 26.17 Å³ per atom

Entry 2:
An optimized crystal structure of ThZr6Sc. Source: the Alexandria database, functional PBE.

Structure (extended XYZ):
```
8
Lattice="5.122 0.000 0.000 0.000 3.594 5.332 0.000 -3.594 5.332" Properties=species:S:1:pos:R:3 pbc="T T T"
Th 0.000 0.000 0.000
Zr 0.000 0.000 4.697
Zr 0.000 -1.536 7.572
Zr 0.000 1.536 7.572
Zr 2.561 -1.500 5.609
Zr 2.561 1.500 5.609
Zr 2.561 0.000 8.488
Sc 2.561 0.000 2.668
```

Output
DOS(E_F): 8.222 states/eV per cell
DFT total energy: -8.09 eV per atom
calculated volume: 24.54 Å³ per atom

Entry 3:
An optimized crystal structure of ThZr4Sc5. Source: the Alexandria database, functional PBE.

Structure (extended XYZ):
```
10
Lattice="8.095 -2.289 0.000 8.095 2.289 0.000 -3.299 0.000 7.083" Properties=species:S:1:pos:R:3 pbc="T T T"
Th 0.000 0.000 0.000
Zr 1.513 0.000 2.996
Zr 5.133 0.000 5.009
Zr 7.757 0.000 2.074
Zr 11.378 0.000 4.087
Sc -1.650 0.000 3.541
Sc 2.329 0.000 6.175
Sc 4.533 0.000 2.065
Sc 8.357 0.000 5.018
Sc 10.561 0.000 0.908
```

Output
DOS(E_F): 15.506 states/eV per cell
DFT total energy: -7.13 eV per atom
calculated volume: 26.25 Å³ per atom

Entry 4:
An optimized crystal structure of Th6ZrSc8. Source: the Alexandria database, functional PBE.

Structure (extended XYZ):
```
15
Lattice="4.579 2.643 5.744 -4.579 2.643 5.744 0.000 -5.287 5.744" Properties=species:S:1:pos:R:3 pbc="T T T"
Th -2.009 -0.211 7.062
Th -0.822 -1.845 10.170
Th 1.187 -1.635 7.062
Th -1.187 1.635 10.170
Th 0.822 1.845 7.062
Th 2.009 0.211 10.170
Zr 0.000 0.000 0.000
Sc -1.474 -3.545 7.403
Sc -3.807 -0.496 9.829
Sc 0.000 0.000 3.970
Sc -2.333 3.049 7.403
Sc 2.333 -3.049 9.829
Sc 0.000 0.000 13.262
Sc 3.807 0.496 7.403
Sc 1.474 3.545 9.829
```

Output
DOS(E_F): 23.156 states/eV per cell
DFT total energy: -6.75 eV per atom
calculated volume: 27.81 Å³ per atom

Entry 5:
An optimized crystal structure of ThZr4Sc6. Source: the Alexandria database, functional PBE.

Structure (extended XYZ):
```
22
Lattice="2.644 -4.386 0.000 2.644 4.386 0.000 -0.661 0.000 23.151" Properties=species:S:1:pos:R:3 pbc="T T T"
Th 2.149 2.577 17.363
Th 2.479 -2.577 5.788
Zr 2.318 3.114 10.571
Zr 2.640 3.114 1.004
Zr 2.415 0.404 2.775
Zr 2.543 0.404 8.800
Zr 2.085 -0.404 14.351
Zr 2.213 -0.404 20.376
Zr 1.988 -3.114 22.147
Zr 2.310 -3.114 12.580
Sc 2.461 3.276 4.112
Sc 2.498 3.276 7.464
Sc 2.152 2.631 13.843
Sc 2.145 2.631 20.883
Sc 2.479 0.384 5.788
Sc 2.644 0.000 0.000
Sc 2.314 0.000 11.575
Sc 2.149 -0.384 17.363
Sc 2.483 -2.631 2.268
Sc 2.475 -2.631 9.308
Sc 2.130 -3.276 15.687
Sc 2.167 -3.276 19.039
```

Output
DOS(E_F): 32.290 states/eV per cell
DFT total energy: -7.11 eV per atom
calculated volume: 24.41 Å³ per atom

Entry 6:
An optimized crystal structure of ThZrSc6. Source: the Alexandria database, functional PBE.

Structure (extended XYZ):
```
8
Lattice="4.640 0.000 0.000 0.000 4.640 0.000 0.000 0.000 9.290" Properties=species:S:1:pos:R:3 pbc="T T T"
Th 0.000 0.000 0.000
Zr 0.000 0.000 4.645
Sc 0.000 2.320 2.407
Sc 0.000 2.320 6.882
Sc 2.320 0.000 2.407
Sc 2.320 0.000 6.882
Sc 2.320 2.320 0.000
Sc 2.320 2.320 4.645
```

Output
relative energy among the computed polymorphs: 0.0 meV per atom
DOS(E_F): 12.284 states/eV per cell
calculated volume: 25.00 Å³ per atom

Calculated spin magnetization in order - 0.000, 0.000, 0.000, 0.114, 0.000, 0.000 μB per atom